(1)
First-principles (SCAN) data for Ti3PtAu at its PBEsol-relaxed geometry, as listed in Alexandria.

formation enthalpy at 0 K	0.164	eV/atom
spin magnetization	0.0	μB/cell
N(E_F)	1.6628	states/eV/atom
uncorrected energy	-186.620	eV per formula unit
space-group type	Pm-3m
volume	20.8	Å³ per atom

Cell: 4.705 4.705 4.705 Å, 90.00 90.00 90.00°
Sites, in units of the cell vectors:
Au 0.500 0.500 0.500
Pt 0.000 0.000 0.000
Ti 0.000 0.500 0.000
Ti 0.000 0.000 0.500
Ti 0.500 0.000 0.000


(2)
First-principles (SCAN) data for Tl2PtAu at its PBEsol-relaxed geometry, as listed in Alexandria.

formation enthalpy at 0 K	0.002	eV/atom
spin magnetization	0.0	μB/cell
N(E_F)	0.3878	states/eV/atom
uncorrected energy	-284.058	eV per formula unit
space-group type	Pm
volume	20.9	Å³ per atom

Cell: 3.735 4.128 5.741 Å, 90.00 109.21 90.00°
Sites, in units of the cell vectors:
Tl 0.023 0.000 0.922
Tl 0.722 0.500 0.318
Au 0.295 0.000 0.462
Pt 0.460 0.500 0.798


(3)
First-principles (SCAN) data for UPt4Au at its PBEsol-relaxed geometry, as listed in Alexandria.

formation enthalpy at 0 K	-0.590	eV/atom
spin magnetization	1.5	μB/cell
N(E_F)	1.2633	states/eV/atom
uncorrected energy	-456.997	eV per formula unit
space-group type	F-43m
volume	17.1	Å³ per atom

Cell: 5.256 5.256 5.256 Å, 60.00 60.00 60.00°
Last column: magnetic moment on the atom in μB.
Sites, in units of the cell vectors:
U 0.000 0.000 0.000  1.76
Pt 0.874 0.375 0.375  -0.12
Pt 0.375 0.375 0.375  -0.12
Pt 0.375 0.874 0.375  -0.12
Pt 0.375 0.375 0.874  -0.12
Au 0.750 0.750 0.750  -0.02


(4)
First-principles (SCAN) data for PtW3Au at its PBEsol-relaxed geometry, as listed in Alexandria.

formation enthalpy at 0 K	2.791	eV/atom
spin magnetization	0.0	μB/cell
N(E_F)	1.2541	states/eV/atom
uncorrected energy	-334.459	eV per formula unit
space-group type	Pm-3m
volume	20.8	Å³ per atom

Cell: 4.706 4.706 4.706 Å, 90.00 90.00 90.00°
Sites, in units of the cell vectors:
Au 0.000 0.000 0.000
W 0.000 0.500 0.000
W 0.000 0.000 0.500
W 0.500 0.000 0.000
Pt 0.500 0.500 0.500


(5)
First-principles (SCAN) data for PtW2Au at its PBEsol-relaxed geometry, as listed in Alexandria.

offset from the most stable computed form	9	meV/atom
formation enthalpy at 0 K	0.046	eV/atom
spin magnetization	0.0	μB/cell
N(E_F)	0.5461	states/eV/atom
uncorrected energy	-278.541	eV per formula unit
space-group type	Cm
volume	15.9	Å³ per atom

Cell: 2.751 2.751 9.378 Å, 75.30 75.30 70.04°
Sites, in units of the cell vectors:
Au 0.477 0.477 0.502
Pt 0.276 0.276 0.238
W 0.052 0.052 0.002
W 0.695 0.695 0.758


(6)
First-principles (SCAN) data for Pt2WAu at its PBEsol-relaxed geometry, as listed in Alexandria.

formation enthalpy at 0 K	-0.243	eV/atom
spin magnetization	0.0	μB/cell
N(E_F)	0.5481	states/eV/atom
uncorrected energy	-280.205	eV per formula unit
space-group type	P4/mmm
volume	15.6	Å³ per atom

Cell: 2.803 2.803 7.917 Å, 90.00 90.00 90.00°
Sites, in units of the cell vectors:
Au 0.500 0.500 0.500
W 0.500 0.500 0.000
Pt 0.000 0.000 0.767
Pt 0.000 0.000 0.233


(7)
First-principles (SCAN) data for PtW2Au at its PBEsol-relaxed geometry, as listed in Alexandria.

offset from the most stable computed form	0	meV/atom
formation enthalpy at 0 K	0.038	eV/atom
spin magnetization	0.0	μB/cell
N(E_F)	0.3902	states/eV/atom
uncorrected energy	-278.575	eV per formula unit
space-group type	Pmm2
volume	15.5	Å³ per atom

Cell: 2.756 4.512 4.979 Å, 90.00 90.00 90.00°
Sites, in units of the cell vectors:
Au 0.500 0.000 0.531
Pt 0.500 0.500 0.214
W 0.000 0.000 0.033
W 0.000 0.500 0.722


(8)
First-principles (SCAN) data for PtWAu at its PBEsol-relaxed geometry, as listed in Alexandria.

formation enthalpy at 0 K	0.091	eV/atom
spin magnetization	0.0	μB/cell
N(E_F)	0.8326	states/eV/atom
uncorrected energy	-208.766	eV per formula unit
space-group type	P3m1
volume	15.8	Å³ per atom

Cell: 2.809 2.809 6.929 Å, 90.00 90.00 120.00°
Sites, in units of the cell vectors:
Au 0.000 0.000 0.003
Pt 0.333 0.667 0.653
W 0.667 0.333 0.344


(9)
First-principles (SCAN) data for Y2PtAu at its PBEsol-relaxed geometry, as listed in Alexandria.

formation enthalpy at 0 K	-1.277	eV/atom
spin magnetization	0.0	μB/cell
N(E_F)	0.5403	states/eV/atom
uncorrected energy	-200.142	eV per formula unit
space-group type	P4/mmm
volume	21.4	Å³ per atom

Cell: 3.478 3.478 7.066 Å, 90.00 90.00 90.00°
Sites, in units of the cell vectors:
Y 0.000 0.000 0.740
Y 0.000 0.000 0.260
Au 0.500 0.500 0.000
Pt 0.500 0.500 0.500


(10)
First-principles (SCAN) data for YPtAu3 at its PBEsol-relaxed geometry, as listed in Alexandria.

formation enthalpy at 0 K	0.020	eV/atom
spin magnetization	0.0	μB/cell
N(E_F)	0.5272	states/eV/atom
uncorrected energy	-305.406	eV per formula unit
space-group type	Pm-3m
volume	24.4	Å³ per atom

Cell: 4.958 4.958 4.958 Å, 90.00 90.00 90.00°
Sites, in units of the cell vectors:
Y 0.500 0.500 0.500
Au 0.000 0.500 0.000
Au 0.000 0.000 0.500
Au 0.500 0.000 0.000
Pt 0.000 0.000 0.000


(11)
First-principles (SCAN) data for Y2PtAu at its PBEsol-relaxed geometry, as listed in Alexandria.

formation enthalpy at 0 K	-0.891	eV/atom
spin magnetization	0.0	μB/cell
N(E_F)	0.5612	states/eV/atom
uncorrected energy	-198.601	eV per formula unit
space-group type	F-43m
volume	19.5	Å³ per atom

Cell: 4.796 4.796 4.796 Å, 60.00 60.00 60.00°
Sites, in units of the cell vectors:
Au 0.500 0.500 0.500
Pt 0.250 0.250 0.250
Y 0.000 0.000 0.000
Y 0.750 0.750 0.750


(12)
First-principles (SCAN) data for Y2PtAu at its PBEsol-relaxed geometry, as listed in Alexandria.

formation enthalpy at 0 K	-1.326	eV/atom
spin magnetization	0.0	μB/cell
N(E_F)	0.5955	states/eV/atom
uncorrected energy	-200.339	eV per formula unit
space-group type	Amm2
volume	22.2	Å³ per atom

Cell: 3.718 4.515 5.600 Å, 90.00 109.39 90.00°
Sites, in units of the cell vectors:
Y 0.985 0.500 0.970
Y 0.263 0.000 0.526
Au 0.539 0.000 0.079
Pt 0.712 0.500 0.425


(13)
First-principles (SCAN) data for YPtAu at its PBEsol-relaxed geometry, as listed in Alexandria.

formation enthalpy at 0 K	-1.089	eV/atom
spin magnetization	0.0	μB/cell
N(E_F)	0.3684	states/eV/atom
uncorrected energy	-170.461	eV per formula unit
space-group type	I4mm
volume	19.4	Å³ per atom

Cell: 3.618 3.618 5.123 Å, 110.68 110.68 90.00°
Sites, in units of the cell vectors:
Y 0.672 0.672 0.343
Au 0.999 0.999 0.997
Pt 0.330 0.330 0.660


(14)
First-principles (SCAN) data for YPtAu at its PBEsol-relaxed geometry, as listed in Alexandria.

formation enthalpy at 0 K	-1.014	eV/atom
spin magnetization	0.0	μB/cell
N(E_F)	0.6371	states/eV/atom
uncorrected energy	-170.234	eV per formula unit
space-group type	P-6m2
volume	20.1	Å³ per atom

Cell: 3.318 4.580 4.580 Å, 120.00 90.00 90.00°
Sites, in units of the cell vectors:
Au 0.833 0.000 0.000
Pt 0.834 0.667 0.333
Y 0.333 0.333 0.667


(15)
First-principles (SCAN) data for YPtAu at its PBEsol-relaxed geometry, as listed in Alexandria.

formation enthalpy at 0 K	-1.000	eV/atom
spin magnetization	0.0	μB/cell
N(E_F)	0.4080	states/eV/atom
uncorrected energy	-170.193	eV per formula unit
space-group type	F-43m
volume	22.5	Å³ per atom

Cell: 4.567 4.567 4.567 Å, 60.00 60.00 60.00°
Sites, in units of the cell vectors:
Au 0.500 0.500 0.500
Pt 0.250 0.250 0.250
Y 0.000 0.000 0.000


(16)
First-principles (SCAN) data for Y2PtAu at its PBEsol-relaxed geometry, as listed in Alexandria.

formation enthalpy at 0 K	-1.268	eV/atom
spin magnetization	0.0	μB/cell
N(E_F)	0.5435	states/eV/atom
uncorrected energy	-200.108	eV per formula unit
space-group type	Pm
volume	21.3	Å³ per atom

Cell: 3.498 4.939 4.939 Å, 90.00 90.00 90.00°
Sites, in units of the cell vectors:
Y 0.875 0.000 0.876
Y 0.875 0.500 0.374
Au 0.376 0.000 0.377
Pt 0.374 0.500 0.873


(17)
First-principles (SCAN) data for YPt4Au at its PBEsol-relaxed geometry, as listed in Alexandria.

formation enthalpy at 0 K	-0.837	eV/atom
spin magnetization	0.0	μB/cell
N(E_F)	0.4626	states/eV/atom
uncorrected energy	-382.792	eV per formula unit
space-group type	F-43m
volume	17.3	Å³ per atom

Cell: 5.273 5.273 5.273 Å, 60.00 60.00 60.00°
Sites, in units of the cell vectors:
Y 0.750 0.750 0.750
Au 0.000 0.000 0.000
Pt 0.876 0.375 0.375
Pt 0.375 0.375 0.375
Pt 0.375 0.375 0.876
Pt 0.375 0.876 0.375


(18)
First-principles (SCAN) data for ZnPt2Au at its PBEsol-relaxed geometry, as listed in Alexandria.

formation enthalpy at 0 K	-0.275	eV/atom
spin magnetization	0.0	μB/cell
N(E_F)	0.3974	states/eV/atom
uncorrected energy	-224.158	eV per formula unit
space-group type	P4/mmm
volume	14.9	Å³ per atom

Cell: 2.830 2.830 7.458 Å, 90.00 90.00 90.00°
Sites, in units of the cell vectors:
Zn 0.500 0.500 0.000
Au 0.500 0.500 0.500
Pt 0.000 0.000 0.772
Pt 0.000 0.000 0.228


(19)
First-principles (SCAN) data for ZnPt2Au at its PBEsol-relaxed geometry, as listed in Alexandria.

formation enthalpy at 0 K	-0.235	eV/atom
spin magnetization	0.0	μB/cell
N(E_F)	0.4125	states/eV/atom
uncorrected energy	-223.999	eV per formula unit
space-group type	Immm
volume	15.1	Å³ per atom

Cell: 2.791 4.676 5.360 Å, 115.86 105.09 90.00°
Sites, in units of the cell vectors:
Zn 0.500 0.000 0.000
Au 0.000 0.500 0.000
Pt 0.764 0.764 0.528
Pt 0.236 0.236 0.472


(20)
First-principles (SCAN) data for ZnPt2Au at its PBEsol-relaxed geometry, as listed in Alexandria.

formation enthalpy at 0 K	-0.244	eV/atom
spin magnetization	0.0	μB/cell
N(E_F)	0.4139	states/eV/atom
uncorrected energy	-224.035	eV per formula unit
space-group type	C2/m
volume	15.0	Å³ per atom

Cell: 2.793 4.769 4.875 Å, 104.15 106.65 90.00°
Sites, in units of the cell vectors:
Zn 0.500 0.000 0.000
Au 0.000 0.500 0.000
Pt 0.238 0.242 0.477
Pt 0.762 0.758 0.523


(21)
First-principles (SCAN) data for ZnPt2Au at its PBEsol-relaxed geometry, as listed in Alexandria.

formation enthalpy at 0 K	-0.234	eV/atom
spin magnetization	0.0	μB/cell
N(E_F)	0.4602	states/eV/atom
uncorrected energy	-223.993	eV per formula unit
space-group type	I4/mmm
volume	15.1	Å³ per atom

Cell: 3.996 3.996 4.715 Å, 115.07 115.07 90.00°
Sites, in units of the cell vectors:
Zn 0.500 0.500 0.000
Au 0.000 0.000 0.000
Pt 0.750 0.250 0.500
Pt 0.250 0.750 0.500


(22)
First-principles (SCAN) data for ZnPtAu3 at its PBEsol-relaxed geometry, as listed in Alexandria.

formation enthalpy at 0 K	0.837	eV/atom
spin magnetization	0.0	μB/cell
N(E_F)	0.5118	states/eV/atom
uncorrected energy	-286.996	eV per formula unit
space-group type	Pm-3m
volume	19.5	Å³ per atom

Cell: 4.606 4.606 4.606 Å, 90.00 90.00 90.00°
Sites, in units of the cell vectors:
Zn 0.000 0.000 0.000
Au 0.000 0.500 0.000
Au 0.000 0.000 0.500
Au 0.500 0.000 0.000
Pt 0.500 0.500 0.500


(23)
First-principles (SCAN) data for ZnPtAu4 at its PBEsol-relaxed geometry, as listed in Alexandria.

formation enthalpy at 0 K	0.281	eV/atom
spin magnetization	0.0	μB/cell
N(E_F)	0.5025	states/eV/atom
uncorrected energy	-358.653	eV per formula unit
space-group type	F-43m
volume	17.7	Å³ per atom

Cell: 5.312 5.312 5.312 Å, 60.00 60.00 60.00°
Sites, in units of the cell vectors:
Au 0.375 0.375 0.375
Au 0.375 0.375 0.875
Au 0.875 0.375 0.375
Au 0.375 0.875 0.375
Pt 0.750 0.750 0.750
Zn 0.000 0.000 0.000


(24)
First-principles (SCAN) data for ZnPt2Au at its PBEsol-relaxed geometry, as listed in Alexandria.

formation enthalpy at 0 K	-0.245	eV/atom
spin magnetization	0.0	μB/cell
N(E_F)	0.3906	states/eV/atom
uncorrected energy	-224.038	eV per formula unit
space-group type	Pmmm
volume	15.1	Å³ per atom

Cell: 2.820 3.670 5.816 Å, 90.00 90.00 90.00°
Sites, in units of the cell vectors:
Zn 0.500 0.500 0.000
Au 0.500 0.500 0.500
Pt 0.000 0.000 0.766
Pt 0.000 0.000 0.234


(25)
First-principles (SCAN) data for ZnPt2Au at its PBEsol-relaxed geometry, as listed in Alexandria.

formation enthalpy at 0 K	-0.261	eV/atom
spin magnetization	0.0	μB/cell
N(E_F)	0.4762	states/eV/atom
uncorrected energy	-224.103	eV per formula unit
space-group type	R-3m
volume	15.0	Å³ per atom

Cell: 2.798 2.798 9.024 Å, 81.08 81.08 60.00°
Sites, in units of the cell vectors:
Zn 0.500 0.500 0.500
Au 0.000 0.000 0.000
Pt 0.243 0.243 0.270
Pt 0.757 0.757 0.730


(26)
First-principles (SCAN) data for Zn4PtAu at its PBEsol-relaxed geometry, as listed in Alexandria.

formation enthalpy at 0 K	-0.170	eV/atom
spin magnetization	0.0	μB/cell
N(E_F)	0.2739	states/eV/atom
uncorrected energy	-194.430	eV per formula unit
space-group type	F-43m
volume	14.0	Å³ per atom

Cell: 4.920 4.920 4.920 Å, 60.00 60.00 60.00°
Sites, in units of the cell vectors:
Au 0.750 0.750 0.750
Pt 0.000 0.000 0.000
Zn 0.375 0.375 0.375
Zn 0.375 0.375 0.875
Zn 0.875 0.375 0.375
Zn 0.375 0.875 0.375


(27)
First-principles (SCAN) data for ZnPt2Au at its PBEsol-relaxed geometry, as listed in Alexandria.

formation enthalpy at 0 K	-0.184	eV/atom
spin magnetization	0.0	μB/cell
N(E_F)	0.6150	states/eV/atom
uncorrected energy	-223.795	eV per formula unit
space-group type	I-4m2
volume	15.1	Å³ per atom

Cell: 3.995 3.995 4.726 Å, 115.00 115.00 90.00°
Sites, in units of the cell vectors:
Au 0.250 0.750 0.500
Pt 0.000 0.000 0.000
Pt 0.750 0.250 0.500
Zn 0.500 0.500 0.000


(28)
First-principles (SCAN) data for ZnPt2Au at its PBEsol-relaxed geometry, as listed in Alexandria.

formation enthalpy at 0 K	-0.246	eV/atom
spin magnetization	0.0	μB/cell
N(E_F)	0.4740	states/eV/atom
uncorrected energy	-224.041	eV per formula unit
space-group type	Cmmm
volume	15.0	Å³ per atom

Cell: 2.889 4.645 4.645 Å, 105.12 90.00 90.00°
Sites, in units of the cell vectors:
Zn 0.500 0.000 0.000
Au 0.500 0.500 0.500
Pt 0.000 0.500 0.000
Pt 0.000 0.000 0.500


(29)
First-principles (SCAN) data for ZrPt2Au at its PBEsol-relaxed geometry, as listed in Alexandria.

formation enthalpy at 0 K	-0.713	eV/atom
spin magnetization	0.0	μB/cell
N(E_F)	0.6120	states/eV/atom
uncorrected energy	-243.094	eV per formula unit
space-group type	F-43m
volume	16.9	Å³ per atom

Cell: 4.571 4.571 4.571 Å, 60.00 60.00 60.00°
Sites, in units of the cell vectors:
Au 0.500 0.500 0.500
Pt 0.000 0.000 0.000
Pt 0.250 0.250 0.250
Zr 0.750 0.750 0.750


(30)
First-principles (SCAN) data for ZrPtAu at its PBEsol-relaxed geometry, as listed in Alexandria.

offset from the most stable computed form	375	meV/atom
formation enthalpy at 0 K	-0.727	eV/atom
spin magnetization	0.0	μB/cell
N(E_F)	0.8386	states/eV/atom
uncorrected energy	-172.230	eV per formula unit
space-group type	F-43m
volume	20.5	Å³ per atom

Cell: 4.433 4.433 4.433 Å, 60.00 60.00 60.00°
Sites, in units of the cell vectors:
Au 0.500 0.500 0.500
Pt 0.250 0.250 0.250
Zr 0.000 0.000 0.000